# 1
Material: RbZnF2
Method: DFT, PBE
State: relaxed

The structure in CIF format:
```
data_RbZnF2
_chemical_formula_sum 'Rb4 Zn4 F8'
_space_group_name_H-M_alt 'I -4 2 d'
_space_group_IT_number 122
_space_group_name_Hall 'I -4 2bw'
_cell_length_a 5.652
_cell_length_b 5.652
_cell_length_c 10.094
_cell_angle_alpha 90.00
_cell_angle_beta 90.00
_cell_angle_gamma 90.00
loop_
_atom_site_label
_atom_site_type_symbol
_atom_site_fract_x
_atom_site_fract_y
_atom_site_fract_z
Rb1 Rb 0.000 0.000 0.000
Zn1 Zn 0.000 0.000 0.500
F1 F 0.164 0.250 0.625
```

The calculation puts the offset from the most stable computed form at 0.00 eV/f.u. As for the magnetization: 0.00 μB per atom.



# 2
Material: RbZnF2
Method: DFT, PBE
State: relaxed

The structure in CIF format:
```
data_RbZnF2
_chemical_formula_sum 'Rb3 Zn3 F6'
_space_group_name_H-M_alt 'R -3 m'
_space_group_IT_number 166
_space_group_name_Hall '-R 3 2"'
_cell_length_a 3.4051
_cell_length_b 3.4051
_cell_length_c 22.2566
_cell_angle_alpha 90.00
_cell_angle_beta 90.00
_cell_angle_gamma 120.00
loop_
_atom_site_label
_atom_site_type_symbol
_atom_site_fract_x
_atom_site_fract_y
_atom_site_fract_z
Rb1 Rb 0.0000 0.0000 0.0000
Zn1 Zn 0.0000 0.0000 0.5000
F1 F 0.0000 0.0000 0.4127
```

The calculation puts the offset from the most stable computed form at 0.18 eV/f.u. As for the magnetization: 0.00 μB per atom.



# 3
Material: Rb2ZnF6
Method: DFT, PBE
State: relaxed

The structure in CIF format:
```
data_Rb2ZnF6
_chemical_formula_sum 'Rb4 Zn2 F12'
_space_group_name_H-M_alt 'P 63 m c'
_space_group_IT_number 186
_space_group_name_Hall 'P 6c -2c'
_cell_length_a 6.0777
_cell_length_b 6.0777
_cell_length_c 9.8173
_cell_angle_alpha 90.00
_cell_angle_beta 90.00
_cell_angle_gamma 120.00
loop_
_atom_site_label
_atom_site_type_symbol
_atom_site_fract_x
_atom_site_fract_y
_atom_site_fract_z
Rb1 Rb 0.0000 0.0000 0.0000
Rb2 Rb 0.3333 0.6667 0.2670
Zn1 Zn 0.3333 0.6667 0.6518
F1 F 0.0377 0.5189 0.5355
F2 F 0.1793 0.3586 0.7570
```

As for the magnetization: 0.22 μB per atom.



| no. | formation energy (no corrections) (eV/f.u.) | volume (Å³/atom) | calculated total energy (eV per atom) |
| --- | --- | --- | --- |
| 1 | -7.4 | 20.16 | -3.346 |
| 2 | -7.2 | 18.62 | -3.299 |
| 3 | -18.4 | 17.45 | -3.646 |